1.
Density functional theory data (PBE) for a relaxed Mg2BeGe crystal. Values from VASP.

Computed properties:
- space group = I-42d (122)
- E above lowest polymorph (eV per formula unit) = 0.821
- DFT formation energy (eV/f.u.) = 1.630

Geometry as Quantum ESPRESSO input:
```
&SYSTEM
  ibrav = 0, nat = 16, ntyp = 3
/
ATOMIC_SPECIES
Mg 24.30 Mg.upf
Be 9.01 Be.upf
Ge 72.64 Ge.upf
CELL_PARAMETERS angstrom
4.087 0.000 0.000
0.000 4.087 0.000
0.000 0.000 18.166
ATOMIC_POSITIONS crystal
Mg 0.239 0.250 0.125
Mg 0.250 0.739 0.375
Mg 0.250 0.761 0.875
Mg 0.261 0.250 0.625
Mg 0.739 0.750 0.625
Mg 0.750 0.239 0.875
Mg 0.750 0.261 0.375
Mg 0.761 0.750 0.125
Be 0.000 0.000 0.000
Be 0.000 0.500 0.250
Be 0.500 0.000 0.750
Be 0.500 0.500 0.500
Ge 0.000 0.000 0.500
Ge 0.000 0.500 0.750
Ge 0.500 0.000 0.250
Ge 0.500 0.500 0.000
```

2.
Density functional theory data (PBE) for a relaxed Al6InGa12 crystal. Values from VASP.

Computed properties:
- space group = R-3m (166)
- DFT formation energy (eV/f.u.) = 0.949

Geometry as Quantum ESPRESSO input:
```
&SYSTEM
  ibrav = 0, nat = 19, ntyp = 3
/
ATOMIC_SPECIES
Al 26.98 Al.upf
In 114.82 In.upf
Ga 69.72 Ga.upf
CELL_PARAMETERS angstrom
6.143 3.547 2.804
-6.143 3.547 2.804
0.000 -7.094 2.804
ATOMIC_POSITIONS crystal
Al 0.305 0.305 0.689
Al 0.305 0.689 0.305
Al 0.311 0.695 0.695
Al 0.689 0.305 0.305
Al 0.695 0.311 0.695
Al 0.695 0.695 0.311
In 0.000 0.000 0.000
Ga 0.088 0.349 0.349
Ga 0.114 0.500 0.886
Ga 0.114 0.886 0.500
Ga 0.349 0.088 0.349
Ga 0.349 0.349 0.088
Ga 0.500 0.114 0.886
Ga 0.500 0.886 0.114
Ga 0.651 0.651 0.912
Ga 0.651 0.912 0.651
Ga 0.886 0.114 0.500
Ga 0.886 0.500 0.114
Ga 0.912 0.651 0.651
```

3.
Density functional theory data (PBE) for a relaxed Mg6Al2Cd crystal. Values from VASP.

Computed properties:
- space group = P4_2/mnm (136)
- E above lowest polymorph (eV per formula unit) = 2.583
- DFT formation energy (eV/f.u.) = 2.449

Geometry as Quantum ESPRESSO input:
```
&SYSTEM
  ibrav = 0, nat = 18, ntyp = 3
/
ATOMIC_SPECIES
Mg 24.30 Mg.upf
Al 26.98 Al.upf
Cd 112.41 Cd.upf
CELL_PARAMETERS angstrom
7.062 0.000 0.000
0.000 7.062 0.000
0.000 0.000 9.888
ATOMIC_POSITIONS crystal
Mg 0.226 0.226 0.175
Mg 0.226 0.226 0.825
Mg 0.232 0.232 0.500
Mg 0.268 0.732 0.000
Mg 0.274 0.726 0.325
Mg 0.274 0.726 0.675
Mg 0.726 0.274 0.325
Mg 0.726 0.274 0.675
Mg 0.732 0.268 0.000
Mg 0.768 0.768 0.500
Mg 0.774 0.774 0.175
Mg 0.774 0.774 0.825
Al 0.000 0.000 0.353
Al 0.000 0.000 0.647
Al 0.500 0.500 0.147
Al 0.500 0.500 0.853
Cd 0.000 0.000 0.000
Cd 0.500 0.500 0.500
```

4.
Density functional theory data (PBE) for a relaxed ZrInP4 crystal. Values from VASP.

Computed properties:
- space group = F-43m (216)
- DFT formation energy (eV/f.u.) = 1.341

Geometry as Quantum ESPRESSO input:
```
&SYSTEM
  ibrav = 0, nat = 6, ntyp = 3
/
ATOMIC_SPECIES
Zr 91.22 Zr.upf
In 114.82 In.upf
P 30.97 P.upf
CELL_PARAMETERS angstrom
0.000 3.711 3.711
3.711 0.000 3.711
3.711 3.711 0.000
ATOMIC_POSITIONS crystal
Zr 0.000 0.000 0.000
In 0.750 0.750 0.750
P 0.372 0.372 0.372
P 0.372 0.372 0.885
P 0.372 0.885 0.372
P 0.885 0.372 0.372
```